*A*
DFT (PBE) results for crystalline NiAgHg2 at its relaxed geometry.

```
NiAgHg2
1.0
6.3535 0.0000 0.0000
0.0000 7.2717 0.0000
0.0000 0.0000 3.1270
Ni Ag Hg
2 2 4
direct
0.0000 0.0000 0.0000
0.5000 0.5000 0.0000
0.0000 0.5000 0.0000
0.5000 0.0000 0.0000
0.2500 0.2500 0.5000
0.2500 0.7500 0.5000
0.7500 0.2500 0.5000
0.7500 0.7500 0.5000
```

*B*
DFT (PBE) results for crystalline NiAgHg2 at its relaxed geometry.

```
NiAgHg2
1.0
3.0842 0.0000 0.0000
0.0000 3.0842 0.0000
0.0000 0.0000 7.8863
Ni Ag Hg
1 1 2
direct
0.0000 0.0000 0.0000
0.5000 0.5000 0.2051
0.0000 0.0000 0.4748
0.5000 0.5000 0.7950
```

*C*
DFT (PBE) results for crystalline NiAgHg2 at its relaxed geometry.

```
NiAgHg2
1.0
3.0889 0.0000 0.0000
-1.5444 2.6750 0.0000
0.0000 0.0000 26.9131
Ni Ag Hg
3 3 6
direct
0.0000 0.0000 0.0000
0.3333 0.6667 0.6667
0.6667 0.3333 0.3333
0.0000 0.0000 0.5000
0.3333 0.6667 0.1667
0.6667 0.3333 0.8333
0.0000 0.0000 0.2579
0.0000 0.0000 0.7421
0.3333 0.6667 0.4088
0.3333 0.6667 0.9245
0.6667 0.3333 0.0755
0.6667 0.3333 0.5912
```

Most stable structure among those shown: *C*. Next: +7 meV per atom.